Record 1
Here is CeAl2Sb after structural relaxation from the Alexandria database. Energies are from PBE.

Geometry as POSCAR:
```
CeAl2Sb
1.0
4.433 0.000 0.000
0.000 4.433 0.000
0.000 0.000 4.552
Ce Al Sb
1 2 1
Cartesian
0.000 0.000 0.000
0.000 2.216 2.276
2.216 0.000 2.276
2.216 2.216 0.000
```

energy relative to the elements, uncorrected = -1.8 eV per formula unit
crystal system = tetragonal

Record 2
Here is Cs2CBr6F after structural relaxation from the Alexandria database. Energies are from PBE.

Geometry as POSCAR:
```
Cs2CBr6F
1.0
-4.327 4.327 4.272
4.327 -4.327 4.272
4.327 4.327 -4.272
Cs C Br F
2 1 6 1
Cartesian
4.327 0.000 2.136
0.000 4.327 2.136
0.000 0.000 0.000
1.787 1.787 0.000
2.540 -2.540 4.272
0.000 0.000 2.035
0.000 0.000 6.510
-2.540 2.540 4.272
2.540 2.540 4.272
0.000 0.000 4.272
```

energy relative to the elements, uncorrected = -3.4 eV per formula unit
crystal system = tetragonal

Record 3
Here is VHgAu2 after structural relaxation from the Alexandria database. Energies are from PBE.

Geometry as POSCAR:
```
VHgAu2
1.0
4.239 0.000 0.000
0.000 4.239 0.000
0.000 0.000 4.121
V Hg Au
1 1 2
Cartesian
0.000 0.000 0.000
2.119 2.119 0.000
0.000 2.119 2.061
2.119 0.000 2.061
```

energy of formation from the pure elements = 0.167 eV per atom
crystal system = tetragonal

Record 4
Here is Sc2AsH2 after structural relaxation from the Alexandria database. Energies are from PBE.

Geometry as POSCAR:
```
Sc2AsH2
1.0
0.000 4.456 4.623
3.203 0.000 4.623
3.203 4.456 0.000
Sc As H
4 2 4
Cartesian
2.403 0.672 3.468
4.004 2.900 5.779
2.403 6.012 3.468
4.004 8.240 5.779
2.403 3.342 3.468
4.004 5.570 5.779
0.801 1.114 0.041
0.801 1.114 2.271
5.606 7.798 6.976
5.606 7.798 9.206
```

E = -5.611 eV per atom
crystal system = orthorhombic

Record 5
Here is Ba2VCrIn after structural relaxation from the Alexandria database. Energies are from PBE.

Geometry as POSCAR:
```
Ba2VCrIn
1.0
6.477 0.000 0.000
0.000 6.477 0.000
0.000 0.000 4.187
Ba V Cr In
2 1 1 1
Cartesian
0.000 3.239 0.000
3.239 0.000 0.000
0.000 0.000 2.094
0.000 0.000 0.000
3.239 3.239 2.094
```

energy of formation from the pure elements = 0.747 eV per atom
crystal system = tetragonal

Record 6
Here is Ta2MnCrIn after structural relaxation from the Alexandria database. Energies are from PBE.

Geometry as POSCAR:
```
Ta2MnCrIn
1.0
5.012 0.000 0.000
0.000 5.012 0.000
0.000 0.000 4.629
Ta Mn Cr In
2 1 1 1
Cartesian
0.000 2.506 0.000
2.506 0.000 0.000
0.000 0.000 2.315
2.506 2.506 2.315
0.000 0.000 0.000
```

energy of formation from the pure elements = 2.391 eV per atom
crystal system = tetragonal

| no. | density (g cm⁻³) |
| --- | --- |
| 1 | 5.863 |
| 2 | 4.029 |
| 3 | 14.475 |
| 4 | 4.198 |
| 5 | 4.654 |
| 6 | 8.333 |